VASP calculation (PBE) on a relaxed DyGaCuPd crystal.

a = 6.5646 Å, b = 6.5646 Å, c = 6.5646 Å
α = 90.00°, β = 90.00°, γ = 90.00°
Space group F-43m (No. 216)
Inequivalent atoms, fractional coordinates:
Dy1 0.0000 0.0000 0.0000 [4 per cell]
Ga1 0.0000 0.0000 0.5000 [4 per cell]
Cu1 0.2500 0.2500 0.7500 [4 per cell]
Pd1 0.2500 0.2500 0.2500 [4 per cell]

Summary:
Magnetization = 0.000 μB per formula unit
Calculated density = 9.4 g/cm3
Energy of formation = -540 meV/atom
Total energy = -4.770 eV/atom